#1
The following is a GGA-PBE calculation of a relaxed La3N2Cl crystal, from the Alexandria database.

Cell and atoms, written as extended XYZ:
```
12
Lattice="-3.3712 5.8260 3.6323 3.3712 -5.8260 3.6323 3.3712 5.8260 -3.6323" Properties=species:S:1:pos:R:3 pbc="T T T"
La 1.6792 0.0000 0.0000
La 5.0633 0.0000 0.0000
La -1.6856 2.9130 1.8161
La 1.6792 5.8260 0.0000
La 1.6856 2.9130 1.8161
La 1.6921 0.0000 3.6323
N 0.0000 0.9529 1.3503
N 3.3712 0.9529 2.2820
N 0.0000 4.8732 1.3503
N 3.3712 4.8732 2.2820
Cl 3.3712 2.9130 -0.6643
Cl 0.0000 2.9130 4.2965
```

Summary:
- total magnetic moment (μB per cell) = 0.00


#2
The following is a GGA-PBE calculation of a relaxed La3N2Cl crystal, from the Alexandria database.

Cell and atoms, written as extended XYZ:
```
12
Lattice="1.9275 -6.7400 0.0000 1.9275 6.7400 0.0000 0.0000 0.0000 10.5367" Properties=species:S:1:pos:R:3 pbc="T T T"
La 1.9275 5.8850 7.9025
La 1.9275 1.6105 5.9222
La 1.9275 1.6105 9.8829
La 1.9275 -1.6105 0.6538
La 1.9275 -1.6105 4.6145
La 1.9275 -5.8850 2.6342
N 0.0000 0.0000 0.0000
N 0.0000 0.0000 5.2684
N 1.9275 0.5055 7.9025
N 1.9275 -0.5055 2.6342
Cl 1.9275 3.3057 2.6342
Cl 1.9275 -3.3057 7.9025
```

Summary:
- total magnetic moment (μB per cell) = 2.53


Result of the stability comparison: #2 is the most stable of them.


#1
The following is a GGA-PBE calculation of a relaxed La3NCl3 crystal, from the Alexandria database.

Cell and atoms, written as extended XYZ:
```
14
Lattice="3.6908 -6.8676 0.0000 3.6908 6.8676 0.0000 -3.0112 0.0000 7.4403" Properties=species:S:1:pos:R:3 pbc="T T T"
La -0.4334 0.0000 2.2627
La 0.9139 1.8913 5.2296
La 3.4564 1.8913 2.2107
La 0.9139 -1.8913 5.2296
La 3.4564 -1.8913 2.2107
La 4.8037 0.0000 5.1775
N -0.1948 0.0000 4.6331
N 4.5651 0.0000 2.8071
Cl 2.1852 4.1338 3.7201
Cl 3.6908 4.0340 0.0000
Cl 2.0272 0.0000 0.4876
Cl 2.3432 0.0000 6.9526
Cl 3.6908 -4.0340 0.0000
Cl 2.1852 -4.1338 3.7201
```

Summary:
- total magnetic moment (μB per cell) = 1.57


#2
The following is a GGA-PBE calculation of a relaxed La3NCl3 crystal, from the Alexandria database.

Cell and atoms, written as extended XYZ:
```
14
Lattice="8.2283 0.0000 0.0000 0.0000 3.8843 0.0000 -0.6251 0.0000 11.2515" Properties=species:S:1:pos:R:3 pbc="T T T"
La 0.4942 0.9711 4.4071
La 0.5991 0.9711 9.4656
La 2.3461 2.9132 6.9955
La 5.2571 0.9711 4.2560
La 7.0041 2.9132 1.7859
La 7.1090 2.9132 6.8444
N 0.6546 0.9711 6.9755
N 6.9486 2.9132 4.2760
Cl 0.9457 0.9711 1.3533
Cl 2.8449 2.9132 4.0690
Cl 2.6837 2.9132 9.8625
Cl 4.9195 0.9711 1.3890
Cl 4.7583 0.9711 7.1825
Cl 6.6575 2.9132 9.8982
```

Summary:
- total magnetic moment (μB per cell) = 0.00


Result of the stability comparison: #2 is the most stable of them.


#1
The following is a GGA-PBE calculation of a relaxed LaN2Cl crystal, from the Alexandria database.

Cell and atoms, written as extended XYZ:
```
4
Lattice="2.0147 1.1632 5.8286 -2.0147 1.1632 5.8286 0.0000 -2.3263 5.8286" Properties=species:S:1:pos:R:3 pbc="T T T"
La 0.0000 0.0000 0.0000
N 0.0000 0.0000 6.8026
N 0.0000 0.0000 10.6831
Cl 0.0000 0.0000 8.7429
```

Summary:
- total magnetic moment (μB per cell) = 1.99


#2
The following is a GGA-PBE calculation of a relaxed LaN2Cl crystal, from the Alexandria database.

Cell and atoms, written as extended XYZ:
```
4
Lattice="0.0000 3.1781 3.1781 3.1781 0.0000 3.1781 3.1781 3.1781 0.0000" Properties=species:S:1:pos:R:3 pbc="T T T"
La 0.0000 0.0000 0.0000
N 1.5890 1.5890 1.5890
N 4.7671 4.7671 4.7671
Cl 3.1781 3.1781 3.1781
```

Summary:
- total magnetic moment (μB per cell) = 4.00


Result of the stability comparison: #1 is the most stable of them.


#1
The following is a GGA-PBE calculation of a relaxed La3NCl crystal, from the Alexandria database.

Cell and atoms, written as extended XYZ:
```
5
Lattice="5.0696 0.0000 0.0000 0.0000 5.0696 0.0000 0.0000 0.0000 5.0696" Properties=species:S:1:pos:R:3 pbc="T T T"
La 0.0000 0.0000 2.5348
La 0.0000 2.5348 0.0000
La 2.5348 0.0000 0.0000
N 0.0000 0.0000 0.0000
Cl 2.5348 2.5348 2.5348
```

Summary:
- total magnetic moment (μB per cell) = 0.00


#2
The following is a GGA-PBE calculation of a relaxed La3NCl crystal, from the Alexandria database.

Cell and atoms, written as extended XYZ:
```
10
Lattice="1.8883 -9.8848 0.0000 1.8883 9.8848 0.0000 0.0000 0.0000 7.0982" Properties=species:S:1:pos:R:3 pbc="T T T"
La 1.8883 8.4245 3.5491
La 1.8883 4.7033 6.1745
La 1.8883 1.9324 4.1160
La 1.8883 -1.9324 0.5669
La 1.8883 -4.7033 2.6255
La 1.8883 -8.4245 0.0000
N 1.8883 6.6184 1.6740
N 1.8883 -6.6184 5.2231
Cl 1.8883 3.1781 1.5216
Cl 1.8883 -3.1781 5.0707
```

Summary:
- total magnetic moment (μB per cell) = 1.58


Result of the stability comparison: #2 is the most stable of them.


#1
The following is a GGA-PBE calculation of a relaxed LaP2NCl crystal, from the Alexandria database.

Cell and atoms, written as extended XYZ:
```
5
Lattice="5.9212 0.0000 0.0000 0.0000 5.9212 0.0000 0.0000 0.0000 5.6293" Properties=species:S:1:pos:R:3 pbc="T T T"
La 0.0000 0.0000 0.0000
P 0.0000 2.9606 0.0000
P 2.9606 0.0000 0.0000
N 2.9606 2.9606 2.8146
Cl 0.0000 0.0000 2.8146
```

Summary:
- total magnetic moment (μB per cell) = 6.58


#2
The following is a GGA-PBE calculation of a relaxed LaP2NCl crystal, from the Alexandria database.

Cell and atoms, written as extended XYZ:
```
5
Lattice="4.4244 0.0000 0.0000 0.0000 4.4244 0.0000 0.0000 0.0000 5.5775" Properties=species:S:1:pos:R:3 pbc="T T T"
La 0.0000 0.0000 0.0000
P 0.0000 2.2122 2.7888
P 2.2122 0.0000 2.7888
N 2.2122 2.2122 0.0000
Cl 0.0000 0.0000 2.7888
```

Summary:
- total magnetic moment (μB per cell) = 1.28


Result of the stability comparison: #2 is the most stable of them.


#1
The following is a GGA-PBE calculation of a relaxed LaSeN2Cl crystal, from the Alexandria database.

Cell and atoms, written as extended XYZ:
```
5
Lattice="4.1622 0.0000 0.0000 0.0000 4.1622 0.0000 0.0000 0.0000 6.8034" Properties=species:S:1:pos:R:3 pbc="T T T"
La 0.0000 0.0000 0.0000
Se 0.0000 0.0000 3.4017
N 0.0000 2.0811 0.0000
N 2.0811 0.0000 0.0000
Cl 2.0811 2.0811 3.4017
```

Summary:
- total magnetic moment (μB per cell) = 0.00


#2
The following is a GGA-PBE calculation of a relaxed LaSeN2Cl crystal, from the Alexandria database.

Cell and atoms, written as extended XYZ:
```
5
Lattice="4.2910 0.0000 0.0000 0.0000 4.2910 0.0000 0.0000 0.0000 4.6224" Properties=species:S:1:pos:R:3 pbc="T T T"
La 0.0000 0.0000 0.0000
Se 2.1455 2.1455 0.0000
N 0.0000 2.1455 2.3112
N 2.1455 0.0000 2.3112
Cl 2.1455 2.1455 2.3112
```

Summary:
- total magnetic moment (μB per cell) = 0.37


Result of the stability comparison: #1 is the most stable of them.